Here is a geometry-optimized InReBr structure from Alexandria via LeMat-Bulk. Energies are from PBE-GGA.

abc: 3.057 3.057 13.853
angles: 90.00 90.00 90.00
Atoms (fractional coordinates):
In1 0.000 0.000 0.000
In2 0.500 0.500 0.500
Re1 0.000 0.000 0.650
Re2 0.500 0.500 0.150
Br1 0.000 0.000 0.261
Br2 0.500 0.500 0.761

Results
The value obtained for the uncorrected formation energy is 873 meV per atom. Its energy above the lowest structure with this stoichiometry is 0.144 eV/atom. As for the total magnetization: 0.00 μB per cell.